VGa2Se | Alexandria | PBE | relaxed; calculated volume = 19.18 Å³ per atom; density of states at the Fermi level = 0.7871 states/eV/atom; crystal system = tetragonal; ΔE_f (raw) = 0.144 eV per atom
1.0
7.4977 0.0000 0.0000
0.0000 7.4977 0.0000
3.7488 3.7488 2.7289
Se Ga V
2 4 2
Direct
0.0000 0.0000 0.0000
0.7500 0.2500 0.5000
0.6251 0.1250 0.2500
0.1249 0.6250 0.2500
0.3750 0.3749 0.7500
0.8750 0.8751 0.7500
0.5000 0.5000 0.0000
0.2500 0.7500 0.5000

=====

La2NdSm2Cd5 | Alexandria | PBE | relaxed; calculated volume = 28.79 Å³ per atom; E_tot = -3.072 eV/atom; density of states at the Fermi level = 0.6414 states/eV/atom; crystal system = tetragonal
1.0
4.9301 0.0000 0.0000
0.0000 10.8066 0.0000
0.0000 0.0000 10.8066
La Nd Sm Cd
4 2 4 10
Direct
0.0000 0.6761 0.1761
0.0000 0.3239 0.8239
0.0000 0.1761 0.3239
0.0000 0.8239 0.6761
0.0000 0.0000 0.0000
0.0000 0.5000 0.5000
0.0000 0.1236 0.6236
0.0000 0.8764 0.3764
0.0000 0.6236 0.8764
0.0000 0.3764 0.1236
0.5000 0.1948 0.0694
0.5000 0.8052 0.9306
0.5000 0.0694 0.8052
0.5000 0.6948 0.4306
0.5000 0.9306 0.1948
0.5000 0.3052 0.5694
0.5000 0.5694 0.6948
0.5000 0.4306 0.3052
0.5000 0.5000 0.0000
0.5000 0.0000 0.5000

=====

LiHfGaTc | Alexandria | PBE | relaxed; calculated volume = 15.93 Å³ per atom; E_tot = -6.480 eV/atom; density of states at the Fermi level = 0.9556 states/eV/atom; crystal system = cubic
1.0
-1.3364 0.6832 4.2243
2.7827 -0.8834 3.4020
1.7557 3.3616 2.3906
Hf Tc Ga Li
1 1 1 1
Direct
0.2500 0.2500 0.2500
0.0000 0.0000 0.0000
0.7500 0.7500 0.7500
0.5000 0.5000 0.5000

=====

MnCrCd2Si | Alexandria | PBE | relaxed; calculated volume = 21.02 Å³ per atom; density of states at the Fermi level = 0.7733 states/eV/atom; crystal system = tetragonal; ΔE_f (raw) = 1.234 eV per atom
1.0
-0.3149 -1.9169 -4.7819
3.8452 0.7038 -0.5353
1.1130 -4.7030 1.8120
Cr Si Mn Cd
1 1 1 2
Direct
0.0000 0.0000 0.0000
0.5000 0.5000 0.5000
0.0000 0.5000 0.0000
0.0000 0.0000 0.5000
0.5000 0.0000 0.0000

=====

LuPuScTi | Alexandria | PBE | relaxed; calculated volume = 23.68 Å³ per atom; E_tot = -8.057 eV/atom; density of states at the Fermi level = 2.5826 states/eV/atom; crystal system = cubic
1.0
-1.8774 -4.2134 -2.2134
-0.2011 -4.3916 2.6172
-4.5161 -1.8809 1.4979
Sc Lu Ti Pu
1 1 1 1
Direct
0.0000 0.0000 0.0000
0.7500 0.7500 0.7500
0.5000 0.5000 0.5000
0.2500 0.2500 0.2500

=====

PmNdCu | Alexandria | PBE | relaxed; calculated volume = 29.17 Å³ per atom; energy above the most stable polymorph in this dataset = 222 meV/atom; density of states at the Fermi level = 1.9741 states/eV/atom; crystal system = cubic
1.0
-1.3215 0.5377 4.7749
3.4611 -0.1934 3.5803
1.2521 4.1365 2.4814
Nd Cu Pm
1 1 1
Direct
0.5000 0.5000 0.5000
0.2500 0.2500 0.2500
0.0000 0.0000 0.0000

=====

Number 1: magnetic moment 3.2 μB per formula unit. Number 2: magnetic moment 0.0 μB per formula unit. Number 3: magnetic moment 0.0 μB per formula unit. Number 4: magnetic moment 1.1 μB per formula unit. Number 5: magnetic moment 6.6 μB per formula unit. Number 6: magnetic moment 0.8 μB per formula unit.